# 1
Density functional theory data (PBE) for YCdInTe3 after structural relaxation.

Cell lengths 9.900, 9.900, 9.633 Å; angles 103.26, 103.26, 25.52 degrees
Atoms (fractional coordinates):
Te1 0.683 0.683 0.818
Te2 0.000 0.000 0.500
Te3 0.500 0.500 0.000
Te4 0.317 0.317 0.182
Te5 0.664 0.664 0.360
Te6 0.336 0.336 0.640
Y1 0.175 0.175 0.588
Y2 0.825 0.825 0.412
Cd1 0.530 0.530 0.721
Cd2 0.470 0.470 0.279
In1 0.135 0.135 0.076
In2 0.865 0.865 0.924

**Crystal system**: monoclinic
**Offset from the most stable computed form**: 60.4 meV per atom
**Volume**: 32.94 Å³/atom
**E**: -47.5 eV for the cell shown

# 2
Density functional theory data (PBE) for CsLuGe after structural relaxation.

Cell lengths 5.388, 5.388, 5.388 Å; angles 60.00, 60.00, 60.00 degrees
Atoms (fractional coordinates):
Lu1 0.750 0.750 0.750
Cs1 0.250 0.250 0.250
Ge1 0.000 0.000 0.000

**Crystal system**: cubic
**Offset from the most stable computed form**: 0.0 meV per atom
**Volume**: 36.88 Å³/atom
**E**: -8.9 eV for the cell shown

# 3
Density functional theory data (PBE) for GdTmTlCo2 after structural relaxation.

Cell lengths 3.829, 7.264, 7.264 Å; angles 30.44, 90.00, 90.00 degrees
Site moments in Bohr magnetons follow the coordinates.
Atoms (fractional coordinates):
Co1 0.500 0.794 0.794  0.86
Co2 0.500 0.207 0.207  0.83
Gd1 0.000 0.640 0.640  -0.13
Tl1 0.500 0.999 0.999  -0.02
Tm1 0.000 0.359 0.359  -0.15

**Crystal system**: orthorhombic
**Volume**: 20.47 Å³/atom
**E**: -27.1 eV for the cell shown

# 4
Density functional theory data (PBE) for Ni2AsOs after structural relaxation.

Cell lengths 4.154, 4.154, 4.154 Å; angles 60.00, 60.00, 60.00 degrees
Atoms (fractional coordinates):
As1 0.500 0.500 0.500
Os1 0.250 0.250 0.250
Ni1 0.750 0.750 0.750
Ni2 0.000 0.000 0.000

**Crystal system**: cubic
**Volume**: 12.67 Å³/atom
**E**: -26.5 eV for the cell shown

# 5
Density functional theory data (PBE) for CsHoNb after structural relaxation.

Cell lengths 5.096, 5.096, 5.096 Å; angles 60.00, 60.00, 60.00 degrees
Site moments in Bohr magnetons follow the coordinates.
Atoms (fractional coordinates):
Ho1 0.750 0.750 0.750  -0.05
Cs1 0.000 0.000 0.000  0.04
Nb1 0.250 0.250 0.250  1.24

**Crystal system**: cubic
**Volume**: 31.18 Å³/atom
**E**: -9.2 eV for the cell shown

# 6
Density functional theory data (PBE) for Na4CdNiSn2 after structural relaxation.

Cell lengths 4.908, 4.908, 7.149 Å; angles 90.00, 90.00, 90.00 degrees
Atoms (fractional coordinates):
Ni1 0.500 0.500 0.500
Na1 0.000 0.000 0.500
Na2 0.000 0.500 0.735
Na3 0.500 0.000 0.265
Na4 0.500 0.500 0.000
Cd1 0.000 0.000 0.000
Sn1 0.000 0.500 0.275
Sn2 0.500 0.000 0.725

**Crystal system**: tetragonal
**Volume**: 21.53 Å³/atom
**E**: -20.2 eV for the cell shown

# 7
Density functional theory data (PBE) for Tm2OsC3 after structural relaxation.

Cell lengths 3.369, 3.369, 7.924 Å; angles 90.00, 90.00, 120.00 degrees
Atoms (fractional coordinates):
Os1 0.000 0.000 0.500
C1 0.667 0.333 0.626
C2 0.000 0.000 0.000
C3 0.333 0.667 0.374
Tm1 0.333 0.667 0.820
Tm2 0.667 0.333 0.180

**Crystal system**: trigonal
**Volume**: 12.98 Å³/atom
**E**: -47.2 eV for the cell shown

# 8
Density functional theory data (PBE) for TlCoCuIr after structural relaxation.

Cell lengths 4.380, 4.380, 4.380 Å; angles 60.00, 60.00, 60.00 degrees
Atoms (fractional coordinates):
Co1 0.750 0.750 0.750
Tl1 0.000 0.000 0.000
Cu1 0.250 0.250 0.250
Ir1 0.500 0.500 0.500

**Crystal system**: cubic
**Offset from the most stable computed form**: 0.0 meV per atom
**Volume**: 14.86 Å³/atom
**E**: -20.3 eV for the cell shown